# 1
Computed, not measured: crystalline Zr2AgPb at its relaxed geometry at the PBE-GGA level of DFT.

abc: 10.5934 3.2243 5.4111
angles: 90.00 103.12 90.00
Closest atoms and distances in Å follow each position.
Space group C2/m (No. 12)
Inequivalent atoms, fractional coordinates:
Zr  0.2478  0.0000  0.2395 [4 per cell]  6 Zr 3.06-3.24, 3 Ag 3.10-3.22, 3 Pb 3.16-3.25
Ag  0.0000  0.5000  0.0000 [2 per cell]  6 Zr 3.10-3.22, 4 Pb 3.15, 2 Ag 3.22
Pb  0.0000  0.0000  0.5000 [2 per cell]  4 Ag 3.15, 6 Zr 3.16-3.25, 2 Pb 3.22

The size of the total moment comes out at 0.00 μB per formula unit. For the formation energy, the calculation gives 0.017 eV/atom. As for the volume: 22.500 A^3/atom.

***

# 2
Computed, not measured: crystalline SrMo2Pt at its relaxed geometry at the PBE-GGA level of DFT.

abc: 3.2889 5.2305 9.3986
angles: 90.00 90.00 90.00
Closest atoms and distances in Å follow each position.
Space group Imm2 (No. 44)
Inequivalent atoms, fractional coordinates:
Sr  0.0000  0.0000  0.0000 [2 per cell]  8 Mo 3.10-3.29, 4 Pt 3.11-3.33, 2 Sr 3.29
Mo  0.0000  0.0000  0.5248 [2 per cell]  2 Mo 2.41
Mo  0.0000  0.5000  0.2126 [2 per cell]  2 Mo 2.41
Pt  0.0000  0.5000  0.7805 [2 per cell]  6 Mo 2.82-3.15, 2 Sr 3.11

The size of the total moment comes out at 0.00 μB per formula unit. For the formation energy, the calculation gives 0.486 eV/atom. As for the volume: 20.210 A^3/atom. For the energy above the lowest structure with this stoichiometry, the calculation gives 276 meV per atom.

***

# 3
Computed, not measured: crystalline PaGaTcIr at its relaxed geometry at the PBE-GGA level of DFT.

abc: 6.5873 6.5873 6.5873
angles: 90.00 90.00 90.00
Closest atoms and distances in Å follow each position.
Space group F-43m (No. 216)
Inequivalent atoms, fractional coordinates:
Pa  0.0000  0.0000  0.0000 [4 per cell]  4 Tc 2.85, 4 Ir 2.85
Ga  0.0000  0.0000  0.5000 [4 per cell]  4 Tc 2.85, 4 Ir 2.85
Tc  0.2500  0.2500  0.2500 [4 per cell]  4 Pa 2.85, 4 Ga 2.85
Ir  0.2500  0.2500  0.7500 [4 per cell]  4 Pa 2.85, 4 Ga 2.85

The size of the total moment comes out at 0.00 μB per formula unit. For the formation energy, the calculation gives -0.417 eV/atom. As for the volume: 17.865 A^3/atom. For the energy above the lowest structure with this stoichiometry, the calculation gives 156 meV per atom.

***

# 4
Computed, not measured: crystalline CaPr2P at its relaxed geometry at the PBE-GGA level of DFT.

abc: 4.0509 4.0509 29.9677
angles: 90.00 90.00 120.00
Closest atoms and distances in Å follow each position.
Space group R3m (No. 160, hexagonal axes)
Inequivalent atoms, fractional coordinates:
Ca  0.0000  0.0000  0.0000 [3 per cell]  6 Ca 4.05, 6 Pr 4.07-4.10
Pr  0.0000  0.0000  0.5544 [3 per cell]  3 P 2.86
Pr  0.0000  0.0000  0.7780 [3 per cell]  3 P 2.85
P  0.0000  0.0000  0.1659 [3 per cell]  6 Pr 2.85-2.86

The size of the total moment comes out at 0.74 μB per formula unit. For the formation energy, the calculation gives -0.689 eV/atom. As for the volume: 35.490 A^3/atom.

***

# 5
Computed, not measured: crystalline BeZn2Mo at its relaxed geometry at the PBE-GGA level of DFT.

abc: 2.7235 3.8194 5.3317
angles: 90.00 104.71 90.00
Closest atoms and distances in Å follow each position.
Space group Pm (No. 6)
Inequivalent atoms, fractional coordinates:
Be  0.0000  0.0000  0.0000 [1 per cell]  3 Zn 2.40-2.45, 4 Mo 2.53
Zn  0.2366  0.0000  0.4758 [1 per cell]  1 Be 2.45, 6 Zn 2.65-2.72
Zn  0.8603  0.5000  0.7177 [1 per cell]  2 Be 2.40, 4 Zn 2.65-2.66
Mo  0.5918  0.5000  0.1858 [1 per cell]  4 Be 2.53, 2 Mo 2.72, 7 Zn 2.74-2.78

The size of the total moment comes out at 0.00 μB per formula unit. For the formation energy, the calculation gives 0.105 eV/atom. As for the volume: 13.411 A^3/atom.

***

# 6
Computed, not measured: crystalline Ho5HgPd4 at its relaxed geometry at the PBE-GGA level of DFT.

abc: 3.5131 3.5131 17.9441
angles: 90.00 90.00 90.00
Closest atoms and distances in Å follow each position.
Space group P4/mmm (No. 123)
Inequivalent atoms, fractional coordinates:
Ho  0.0000  0.0000  0.0000 [1 per cell]  8 Pd 3.03
Ho  0.0000  0.0000  0.1931 [2 per cell]  8 Pd 3.03-3.05
Ho  0.0000  0.0000  0.3851 [2 per cell]  4 Pd 2.99, 4 Hg 3.23
Hg  0.5000  0.5000  0.5000 [1 per cell]  8 Ho 3.23, 4 Hg 3.51
Pd  0.5000  0.5000  0.0965 [2 per cell]  8 Ho 3.03
Pd  0.5000  0.5000  0.2919 [2 per cell]  8 Ho 2.99-3.05

The size of the total moment comes out at 0.00 μB per formula unit. For the formation energy, the calculation gives -0.814 eV/atom. As for the volume: 22.146 A^3/atom.